Here is a geometry-optimized AlSnAu5 structure from the Alexandria database. Energies are from PBE-GGA.

abc: 6.553 7.087 7.087
angles: 120.22 92.93 92.93
Atoms (fractional coordinates):
Au  0.432  0.492  0.759
Au  0.068  0.241  0.508
Au  0.332  0.981  0.632
Au  0.932  0.759  0.492
Au  0.568  0.508  0.241
Au  0.250  0.815  0.185
Au  0.668  0.019  0.368
Au  0.750  0.185  0.815
Au  0.832  0.632  0.981
Au  0.168  0.368  0.019
Al  0.250  0.545  0.455
Al  0.750  0.455  0.545
Sn  0.500  0.000  0.000
Sn  0.000  0.000  0.000

Output
Mass density: 13.27 Mg/m³
Energy of formation from the pure elements: -76 kJ/mol of formula units
Calculated total energy: -49.83 eV for the cell shown

***

Here is a geometry-optimized Zn2CuPd structure from the Alexandria database. Energies are from PBE-GGA.

abc: 5.662 5.662 5.662
angles: 55.30 152.40 133.08
Atoms (fractional coordinates):
Cu  0.000  0.000  0.000
Pd  0.000  0.500  0.500
Zn  0.000  0.246  0.246
Zn  0.000  0.754  0.754

Output
Mass density: 8.18 Mg/m³
Energy of formation from the pure elements: 17 kJ/mol of formula units
Calculated total energy: -11.66 eV for the cell shown

***

Here is a geometry-optimized SrTeN2O structure from the Alexandria database. Energies are from PBE-GGA.

abc: 4.955 4.955 4.486
angles: 90.00 90.00 90.00
Atoms (fractional coordinates):
O  0.000  0.000  0.500
Sr  0.000  0.000  0.000
N  0.000  0.500  0.000
N  0.500  0.000  0.000
Te  0.500  0.500  0.500

Output
E_form (uncorrected): 1.39 eV per atom
Mass density: 3.91 Mg/m³
Calculated total energy: -19.49 eV for the cell shown